# 1
The following is a GGA-PBEsol calculation of a geometry-optimized Li5Ru structure, from the Alexandria database.

## Properties
* formation energy: 0.14 eV per atom
* Fermi-level density of states: 2.2 states/eV per cell
* V: 14.98 A^3/atom
* electronic total energy: -19.16 eV/cell
* crystal system: monoclinic
* theoretical density: 2.5 g cm⁻³

```
Li5Ru
1.0
-1.3958 0.4332 -2.0471
-1.0974 -5.1672 1.2000
-4.5753 3.5782 3.8770
Li Ru
5 1
Direct
0.0721 0.1442 0.6462
0.3168 0.6337 0.6794
0.6636 0.3272 0.2970
0.3886 0.7771 0.2701
0.9967 0.9933 0.9787
0.7289 0.4578 0.9618
```


# 2
The following is a GGA-PBEsol calculation of a geometry-optimized CrCu3H structure, from the Alexandria database.

## Properties
* Fermi-level density of states: 2.1 states/eV per cell
* V: 10.34 A^3/atom
* electronic total energy: -24.76 eV/cell
* crystal system: cubic
* theoretical density: 7.8 g cm⁻³

```
CrCu3H
1.0
-0.9580 -1.3505 3.3370
-0.3333 -3.4050 -1.4737
3.5844 -0.6775 0.7548
Cu H Cr
3 1 1
Direct
0.5000 0.0000 0.0000
0.0000 0.0000 0.5000
0.0000 0.5000 0.0000
0.0000 0.0000 0.0000
0.5000 0.5000 0.5000
```


# 3
The following is a GGA-PBEsol calculation of a geometry-optimized Tc2RuBr structure, from the Alexandria database.

## Properties
* formation energy without anion corrections: 870 meV/atom
* energy relative to the lowest polymorph listed for this composition: 0.1395 eV/atom
* Fermi-level density of states: 4.8 states/eV per cell
* V: 14.64 A^3/atom
* electronic total energy: -31.09 eV/cell
* crystal system: orthorhombic
* theoretical density: 10.7 g cm⁻³

```
Tc2RuBr
1.0
-0.1871 -1.0155 2.6802
2.7181 -3.3433 -1.0770
3.6185 2.5492 1.2185
Br Tc Ru
1 2 1
Direct
0.5000 0.0000 0.5000
0.5000 0.5000 0.0000
0.0000 0.0000 0.0000
0.0000 0.5000 0.5000
```


# 4
The following is a GGA-PBEsol calculation of a geometry-optimized MnZn2Ru structure, from the Alexandria database.

## Properties
* formation energy: -0.01 eV per atom
* energy relative to the lowest polymorph listed for this composition: 0.0000 eV/atom
* Fermi-level density of states: 2.4 states/eV per cell
* V: 12.61 A^3/atom
* electronic total energy: -23.15 eV/cell
* crystal system: tetragonal
* theoretical density: 9.4 g cm⁻³

```
MnZn2Ru
1.0
-1.9377 -1.3903 -1.3579
-1.1810 -0.6805 2.3820
-3.7672 5.5313 -0.2876
Zn Mn Ru
2 1 1
Direct
0.5000 0.5000 0.2642
0.0000 0.0000 0.9980
0.0000 0.0000 0.5094
0.5000 0.5000 0.7284
```


# 5
The following is a GGA-PBEsol calculation of a geometry-optimized LiCaRh structure, from the Alexandria database.

## Properties
* formation energy: -0.11 eV per atom
* Fermi-level density of states: 1.3 states/eV per cell
* V: 17.94 A^3/atom
* electronic total energy: -12.57 eV/cell
* crystal system: tetragonal
* theoretical density: 4.6 g cm⁻³

```
LiCaRh
1.0
-2.3626 1.6655 1.7382
-2.0458 -2.6728 -0.2197
3.9835 -1.1905 3.2826
Li Rh Ca
1 1 1
Direct
0.7027 0.7027 0.4054
0.3088 0.3088 0.6176
0.9885 0.9885 0.9769
```


# 6
The following is a GGA-PBEsol calculation of a geometry-optimized ZnHPt3 structure, from the Alexandria database.

## Properties
* Fermi-level density of states: 3.6 states/eV per cell
* V: 12.26 A^3/atom
* electronic total energy: -26.78 eV/cell
* crystal system: cubic
* theoretical density: 17.7 g cm⁻³

```
ZnHPt3
1.0
-0.5572 1.5659 3.5749
-3.2738 -2.1535 0.4330
2.1248 -2.9074 1.6047
Pt Zn H
3 1 1
Direct
0.5000 0.0000 0.0000
0.0000 0.5000 0.0000
0.0000 0.0000 0.5000
0.5000 0.5000 0.5000
0.0000 0.0000 0.0000
```


Which formula does entry 6 have? ZnHPt3